*1*
Below is a relaxed structure of RbZrPt3, with properties calculated at the PBE-GGA level. Values from VASP.

Cell and atoms, written as Quantum ESPRESSO input:
```
&SYSTEM
  ibrav = 0, nat = 5, ntyp = 3
/
ATOMIC_SPECIES
Rb 85.47 Rb.upf
Zr 91.22 Zr.upf
Pt 195.08 Pt.upf
CELL_PARAMETERS angstrom
-4.835 -0.568 1.020
-0.393 -3.302 -3.700
1.100 -3.677 3.165
ATOMIC_POSITIONS angstrom
Rb 0.000 0.000 0.000
Zr -2.064 -3.773 0.243
Pt -0.196 -1.651 -1.850
Pt 0.550 -1.838 1.582
Pt -2.418 -0.284 0.510
```

Output
Space-group type ... Pm-3m (221)
Crystal system ... cubic
DOS at the Fermi energy ... 6.4 states/eV/cell

---

*2*
Below is a relaxed structure of RbZrPt3, with properties calculated at the PBE-GGA level. Values from VASP.

Cell and atoms, written as Quantum ESPRESSO input:
```
&SYSTEM
  ibrav = 0, nat = 5, ntyp = 3
/
ATOMIC_SPECIES
Rb 85.47 Rb.upf
Zr 91.22 Zr.upf
Pt 195.08 Pt.upf
CELL_PARAMETERS angstrom
5.148 0.000 0.000
0.000 5.148 0.000
0.000 0.000 5.148
ATOMIC_POSITIONS angstrom
Rb 2.574 2.574 2.574
Zr 0.000 0.000 0.000
Pt 0.000 2.574 0.000
Pt 0.000 0.000 2.574
Pt 2.574 0.000 0.000
```

Output
Space-group type ... Pm-3m (221)
Crystal system ... cubic
DOS at the Fermi energy ... 3.5 states/eV/cell

---

Stability order, top to bottom: *2*, *1*

---

*1*
Below is a relaxed structure of RePt, with properties calculated at the PBE-GGA level. Values from VASP.

Cell and atoms, written as Quantum ESPRESSO input:
```
&SYSTEM
  ibrav = 0, nat = 32, ntyp = 2
/
ATOMIC_SPECIES
Re 186.21 Re.upf
Pt 195.08 Pt.upf
CELL_PARAMETERS angstrom
7.247 0.000 0.000
0.000 7.595 0.000
0.000 0.000 9.755
ATOMIC_POSITIONS angstrom
Re 2.447 0.000 0.000
Re 4.800 0.000 0.000
Re 6.612 5.696 2.439
Re 4.258 5.696 2.439
Re 2.447 3.798 4.878
Re 4.800 3.798 4.878
Re 6.612 1.899 7.316
Re 4.258 1.899 7.316
Re 6.070 0.000 4.878
Re 1.177 0.000 4.878
Re 2.988 5.696 7.316
Re 0.635 5.696 7.316
Re 6.070 3.798 0.000
Re 1.177 3.798 0.000
Re 2.988 1.899 2.439
Re 0.635 1.899 2.439
Pt 0.000 6.305 0.000
Pt 0.000 1.290 0.000
Pt 1.812 6.986 2.439
Pt 1.812 4.407 2.439
Pt 0.000 2.508 4.878
Pt 0.000 5.087 4.878
Pt 1.812 3.188 7.316
Pt 1.812 0.609 7.316
Pt 3.623 6.305 4.878
Pt 3.623 1.290 4.878
Pt 5.435 6.986 7.316
Pt 5.435 4.407 7.316
Pt 3.623 2.508 0.000
Pt 3.623 5.087 0.000
Pt 5.435 3.188 2.439
Pt 5.435 0.609 2.439
```

Output
Space-group type ... Fddd (70)
Crystal system ... orthorhombic
DOS at the Fermi energy ... 25.5 states/eV/cell

---

*2*
Below is a relaxed structure of RePt, with properties calculated at the PBE-GGA level. Values from VASP.

Cell and atoms, written as Quantum ESPRESSO input:
```
&SYSTEM
  ibrav = 0, nat = 8, ntyp = 2
/
ATOMIC_SPECIES
Re 186.21 Re.upf
Pt 195.08 Pt.upf
CELL_PARAMETERS angstrom
-0.136 -3.377 -5.472
3.494 -4.634 2.772
-3.685 -1.989 1.319
ATOMIC_POSITIONS angstrom
Re 2.169 -4.175 -0.235
Re 1.061 -7.922 -1.675
Re -1.389 -2.077 0.295
Re 1.188 -3.835 -2.464
Pt 0.865 -2.064 -0.696
Pt -1.099 -4.676 -2.814
Pt 0.772 -5.324 1.434
Pt 2.492 -5.946 -2.004
```

Output
Space-group type ... P4_2/mnm (136)
Crystal system ... tetragonal
DOS at the Fermi energy ... 7.4 states/eV/cell

---

Stability order, top to bottom: *1*, *2*